This record from the Alexandria database describes a geometry-optimized ZnCu3P4O14 structure. The functional is GGA-PBE.

Summary:
final energy	-6.384	eV per atom
symmetry	No. 14

a = 7.2023 Å, b = 8.1382 Å, c = 9.3352 Å
α = 90.00°, β = 106.59°, γ = 90.00°
Positions (direct):
Zn  0.5000  0.0000  0.0000
Zn  0.5000  0.5000  0.5000
O  0.3257  0.8493  0.3224
O  0.6498  0.6588  0.1205
O  0.6498  0.8412  0.6205
O  0.6475  0.5584  0.3745
O  0.6743  0.3493  0.1776
O  0.3525  0.0584  0.1255
O  0.1336  0.8886  0.8674
O  0.0117  0.9032  0.3835
O  0.9883  0.0968  0.6165
O  0.0117  0.5968  0.8835
O  0.3502  0.3412  0.8795
O  0.6397  0.9916  0.3429
O  0.1336  0.6114  0.3674
O  0.3257  0.6507  0.8224
O  0.6743  0.1507  0.6776
O  0.0138  0.7904  0.1276
O  0.9883  0.4032  0.1165
O  0.3502  0.1588  0.3795
O  0.8664  0.1114  0.1326
O  0.0138  0.7096  0.6276
O  0.3525  0.4416  0.6255
O  0.9862  0.2096  0.8724
O  0.6475  0.9416  0.8745
O  0.6397  0.5084  0.8429
O  0.9862  0.2904  0.3724
O  0.3603  0.0084  0.6571
O  0.8664  0.3886  0.6326
O  0.3603  0.4916  0.1571
P  0.1069  0.7156  0.8005
P  0.4241  0.0222  0.2979
P  0.1069  0.7844  0.3005
P  0.4241  0.4778  0.7979
P  0.5759  0.9778  0.7021
P  0.8931  0.2844  0.1995
P  0.8931  0.2156  0.6995
P  0.5759  0.5222  0.2021
Cu  0.0000  0.0000  0.0000
Cu  0.1738  0.1315  0.5020
Cu  0.1738  0.3685  0.0020
Cu  0.0000  0.5000  0.5000
Cu  0.8262  0.8685  0.4980
Cu  0.8262  0.6315  0.9980



This record from the Alexandria database describes a geometry-optimized NdSm3Ho6Er2 structure. The functional is GGA-PBE.

Summary:
symmetry	No. 12
energy of formation from the pure elements	0.017	eV/atom

a = 6.1656 Å, b = 6.1656 Å, c = 11.7772 Å
α = 94.99°, β = 94.99°, γ = 119.97°
Positions (direct):
Nd  0.0000  0.0000  0.0000
Ho  0.4175  0.0834  0.2486
Ho  0.7492  0.7492  0.2485
Ho  0.5825  0.9166  0.7514
Ho  0.9166  0.5825  0.7514
Ho  0.0834  0.4175  0.2486
Ho  0.2508  0.2508  0.7515
Sm  0.5000  0.5000  0.5000
Sm  0.8331  0.1669  0.5000
Sm  0.1669  0.8331  0.5000
Er  0.3332  0.6668  0.0000
Er  0.6668  0.3332  0.0000



This record from the Alexandria database describes a geometry-optimized K2FeAsS4 structure. The functional is GGA-PBE.

Summary:
final energy	-4.563	eV per atom
symmetry	No. 70

a = 6.1332 Å, b = 7.3991 Å, c = 11.6552 Å
α = 83.74°, β = 74.75°, γ = 65.51°
Positions (direct):
S  0.9203  0.8049  0.8928
S  0.4752  0.6951  0.3928
S  0.1870  0.1951  0.8928
S  0.8297  0.6951  0.6072
S  0.6180  0.1951  0.1072
S  0.1320  0.3049  0.3928
S  0.5630  0.3049  0.6072
S  0.2748  0.8049  0.1072
Fe  0.7500  0.5000  0.5000
Fe  0.0000  0.0000  0.0000
As  0.5000  0.0000  0.0000
As  0.2500  0.5000  0.5000
K  0.9299  0.5000  0.1402
K  0.5701  0.5000  0.8598
K  0.1799  0.0000  0.6402
K  0.8201  0.0000  0.3598



This record from the Alexandria database describes a geometry-optimized NaScCdGa structure. The functional is GGA-PBE.

Summary:
symmetry	No. 216
energy of formation from the pure elements	-0.156	eV/atom

a = 4.9428 Å, b = 4.9428 Å, c = 4.9428 Å
α = 60.00°, β = 60.00°, γ = 60.00°
Positions (direct):
Cd  0.7500  0.7500  0.7500
Ga  0.2500  0.2500  0.2500
Sc  0.5000  0.5000  0.5000
Na  0.0000  0.0000  0.0000



This record from the Alexandria database describes a geometry-optimized V3Se4Br2 structure. The functional is GGA-PBE.

Summary:
final energy	-5.594	eV per atom
symmetry	No. 187

a = 3.3635 Å, b = 3.3635 Å, c = 21.4820 Å
α = 90.00°, β = 90.00°, γ = 120.00°
Positions (direct):
Se  0.6667  0.3333  0.3993
Se  0.6667  0.3333  0.7491
Se  0.6667  0.3333  0.6007
Se  0.6667  0.3333  0.2509
V  0.0000  0.0000  0.3252
V  0.0000  0.0000  0.6748
V  0.6667  0.3333  0.0000
Br  0.0000  0.0000  0.9218
Br  0.0000  0.0000  0.0782



This record from the Alexandria database describes a geometry-optimized AlV2Pt9 structure. The functional is GGA-PBE.

Summary:
symmetry	No. 123
energy of formation from the pure elements	-0.550	eV/atom

a = 3.9176 Å, b = 3.9176 Å, c = 11.7676 Å
α = 90.00°, β = 90.00°, γ = 90.00°
Positions (direct):
V  0.0000  0.0000  0.3308
V  0.0000  0.0000  0.6692
Pt  0.5000  0.0000  0.1695
Pt  0.5000  0.5000  0.0000
Pt  0.0000  0.5000  0.5000
Pt  0.5000  0.5000  0.6655
Pt  0.5000  0.0000  0.8305
Pt  0.0000  0.5000  0.1695
Pt  0.5000  0.5000  0.3345
Pt  0.5000  0.0000  0.5000
Pt  0.0000  0.5000  0.8305
Al  0.0000  0.0000  0.0000



This record from the Alexandria database describes a geometry-optimized BaZn2Ni structure. The functional is GGA-PBE.

Summary:
symmetry	No. 99
energy of formation from the pure elements	-0.035	eV/atom

a = 4.0326 Å, b = 4.0323 Å, c = 6.1039 Å
α = 89.96°, β = 90.00°, γ = 90.00°
Positions (direct):
Ni  0.5000  0.8747  0.8386
Zn  0.0000  0.8753  0.0514
Zn  0.5000  0.3745  0.0515
Ba  0.0000  0.3754  0.5585